VMoBr2: relaxed, PBE.

Unit cell a=8.7701 b=8.7701 c=8.7701 alpha=150.34 beta=150.34 gamma=42.44
Atoms (fractional coordinates):
V 0.0000 0.0000 0.0000
V 0.7500 0.2500 0.5000
Mo 0.2500 0.7500 0.5000
Mo 0.5000 0.5000 0.0000
Br 0.1243 0.6250 0.9993
Br 0.3750 0.3743 0.4993
Br 0.6257 0.1250 0.0007
Br 0.8750 0.8757 0.5007

## Properties
Magnetic moment: 0.78 μB/f.u.
Formation energy (no corrections): 0.61 eV per atom
E above lowest polymorph: 0.107 eV per atom
Space-group type: I-42d (122)
E: -5.22 eV/atom
DOS at the Fermi energy: 5.47 states/eV per cell

SmGePd5: relaxed, PBE.

Unit cell a=4.1097 b=4.1097 c=7.2646 alpha=90.00 beta=90.00 gamma=90.00
Atoms (fractional coordinates):
Sm 0.0000 0.0000 0.0000
Ge 0.5000 0.5000 0.5000
Pd 0.0000 0.5000 0.2962
Pd 0.0000 0.5000 0.7038
Pd 0.5000 0.0000 0.2962
Pd 0.5000 0.0000 0.7038
Pd 0.5000 0.5000 0.0000

## Properties
Magnetic moment: 0.00 μB/f.u.
Space-group type: P4/mmm (123)
Formation energy from the elements: -0.698 eV per atom
E: -5.74 eV/atom
DOS at the Fermi energy: 1.12 states/eV per cell

Tb2HoTm6: relaxed, PBE.

Unit cell a=9.4233 b=9.4233 c=6.4514 alpha=99.14 beta=99.14 gamma=95.93
Atoms (fractional coordinates):
Tb 0.1171 0.1661 0.3710
Tb 0.1661 0.1171 0.8710
Tb 0.8339 0.8829 0.1290
Tb 0.8829 0.8339 0.6290
Ho 0.3808 0.6192 0.7500
Ho 0.6192 0.3808 0.2500
Tm 0.0390 0.4399 0.7298
Tm 0.1502 0.7771 0.9971
Tm 0.2229 0.8498 0.5029
Tm 0.2783 0.4542 0.1852
Tm 0.4399 0.0390 0.2298
Tm 0.4542 0.2783 0.6852
Tm 0.5458 0.7217 0.3148
Tm 0.5601 0.9610 0.7702
Tm 0.7217 0.5458 0.8148
Tm 0.7771 0.1502 0.4971
Tm 0.8498 0.2229 0.0029
Tm 0.9610 0.5601 0.2702

## Properties
Magnetic moment: 0.00 μB/f.u.
E above lowest polymorph: 0.083 eV per atom
Space-group type: C2/c (15)
Formation energy from the elements: 0.108 eV per atom
E: -4.41 eV/atom
DOS at the Fermi energy: 21.69 states/eV per cell

K3Cd5F12: relaxed, PBE.

Unit cell a=12.5028 b=12.5028 c=12.5028 alpha=109.47 beta=109.47 gamma=109.47
Atoms (fractional coordinates):
K 0.1250 0.2500 0.3750
K 0.1250 0.3750 0.7500
K 0.2500 0.3750 0.1250
K 0.2500 0.8750 0.6250
K 0.3750 0.1250 0.2500
K 0.3750 0.7500 0.1250
K 0.6250 0.2500 0.8750
K 0.6250 0.8750 0.7500
K 0.7500 0.1250 0.3750
K 0.7500 0.6250 0.8750
K 0.8750 0.6250 0.2500
K 0.8750 0.7500 0.6250
Cd 0.0000 0.0000 0.0000
Cd 0.0000 0.0000 0.5000
Cd 0.0000 0.5000 0.0000
Cd 0.0000 0.5000 0.5000
Cd 0.1250 0.7500 0.8750
Cd 0.1250 0.8750 0.2500
Cd 0.2500 0.1250 0.8750
Cd 0.2500 0.6250 0.3750
Cd 0.3750 0.2500 0.6250
Cd 0.3750 0.6250 0.7500
Cd 0.5000 0.0000 0.0000
Cd 0.5000 0.0000 0.5000
Cd 0.5000 0.5000 0.0000
Cd 0.5000 0.5000 0.5000
Cd 0.6250 0.3750 0.2500
Cd 0.6250 0.7500 0.3750
Cd 0.7500 0.3750 0.6250
Cd 0.7500 0.8750 0.1250
Cd 0.8750 0.1250 0.7500
Cd 0.8750 0.2500 0.1250
F 0.0261 0.2012 0.1183
F 0.0261 0.3249 0.9077
F 0.0828 0.7012 0.6751
F 0.0828 0.8817 0.4077
F 0.0923 0.6183 0.4172
F 0.0923 0.9739 0.6751
F 0.1183 0.0261 0.2012
F 0.1183 0.5923 0.9172
F 0.1751 0.2012 0.5828
F 0.1751 0.4739 0.5923
F 0.2012 0.1183 0.0261
F 0.2012 0.5828 0.1751
F 0.2988 0.3249 0.9172
F 0.2988 0.4739 0.3817
F 0.3249 0.9077 0.0261
F 0.3249 0.9172 0.2988
F 0.3817 0.2988 0.4739
F 0.3817 0.5828 0.9077
F 0.4077 0.0828 0.8817
F 0.4077 0.8249 0.5261
F 0.4172 0.0923 0.6183
F 0.4172 0.8249 0.7988
F 0.4739 0.3817 0.2988
F 0.4739 0.5923 0.1751
F 0.5261 0.4077 0.8249
F 0.5261 0.6183 0.7012
F 0.5828 0.1751 0.2012
F 0.5828 0.9077 0.3817
F 0.5923 0.1751 0.4739
F 0.5923 0.9172 0.1183
F 0.6183 0.4172 0.0923
F 0.6183 0.7012 0.5261
F 0.6751 0.0828 0.7012
F 0.6751 0.0923 0.9739
F 0.7012 0.5261 0.6183
F 0.7012 0.6751 0.0828
F 0.7988 0.4172 0.8249
F 0.7988 0.8817 0.9739
F 0.8249 0.5261 0.4077
F 0.8249 0.7988 0.4172
F 0.8817 0.4077 0.0828
F 0.8817 0.9739 0.7988
F 0.9077 0.0261 0.3249
F 0.9077 0.3817 0.5828
F 0.9172 0.1183 0.5923
F 0.9172 0.2988 0.3249
F 0.9739 0.6751 0.0923
F 0.9739 0.7988 0.8817

## Properties
Magnetic moment: 0.00 μB/f.u.
Formation energy (no corrections): -2.27 eV per atom
Space-group type: Ia-3d (230)
E: -3.79 eV/atom
DOS at the Fermi energy: 5.13 states/eV per cell

SrCd2Cu9: relaxed, PBE.

Unit cell a=5.1625 b=5.1625 c=16.0643 alpha=90.00 beta=90.00 gamma=120.00
Atoms (fractional coordinates):
Sr 0.3333 0.6667 0.2500
Sr 0.6667 0.3333 0.7500
Cd 0.3333 0.6667 0.0327
Cd 0.3333 0.6667 0.4673
Cd 0.6667 0.3333 0.5327
Cd 0.6667 0.3333 0.9673
Cu 0.0000 0.0000 0.0000
Cu 0.0000 0.0000 0.2500
Cu 0.0000 0.0000 0.5000
Cu 0.0000 0.0000 0.7500
Cu 0.1685 0.3371 0.6225
Cu 0.1685 0.3371 0.8775
Cu 0.1685 0.8315 0.6225
Cu 0.1685 0.8315 0.8775
Cu 0.3333 0.6667 0.7500
Cu 0.3371 0.1685 0.1225
Cu 0.3371 0.1685 0.3775
Cu 0.6629 0.8315 0.6225
Cu 0.6629 0.8315 0.8775
Cu 0.6667 0.3333 0.2500
Cu 0.8315 0.1685 0.1225
Cu 0.8315 0.1685 0.3775
Cu 0.8315 0.6629 0.1225
Cu 0.8315 0.6629 0.3775

## Properties
Magnetic moment: 0.00 μB/f.u.
Space-group type: P6_3/mmc (194)
Formation energy from the elements: -0.051 eV per atom
E: -3.42 eV/atom
DOS at the Fermi energy: 7.34 states/eV per cell

MgReAsBr2: relaxed, PBE.

Unit cell a=5.2625 b=5.2625 c=4.7904 alpha=90.00 beta=90.00 gamma=90.00
Atoms (fractional coordinates):
Mg 0.0000 0.0000 0.0000
Re 0.5000 0.5000 0.5000
As 0.5000 0.5000 0.0000
Br 0.0000 0.5000 0.5000
Br 0.5000 0.0000 0.5000

## Properties
Magnetic moment: 1.40 μB/f.u.
Formation energy (no corrections): 0.42 eV per atom
E above lowest polymorph: 0.000 eV per atom
Space-group type: P4/mmm (123)
E: -3.99 eV/atom
DOS at the Fermi energy: 4.25 states/eV per cell